1.
Below is a crystal of LaGa6 relaxed with PBEsol, with properties calculated at the SCAN level.

```
LaGa6
1.0
5.970 0.000 0.000
0.000 5.970 0.000
0.000 0.000 7.657
La Ga
2 12
direct
0.250 0.750 0.000
0.750 0.250 0.000
0.059 0.559 0.351
0.059 0.941 0.649
0.250 0.250 0.163
0.250 0.250 0.837
0.441 0.559 0.649
0.441 0.941 0.351
0.559 0.059 0.649
0.559 0.441 0.351
0.750 0.750 0.163
0.750 0.750 0.837
0.941 0.059 0.351
0.941 0.441 0.649
```

Calculated formation energy = -40.3 kJ per mole of atoms

=====

2.
Below is a crystal of Sr2TlCl relaxed with PBEsol, with properties calculated at the SCAN level.

```
Sr2TlCl
1.0
4.114 0.000 0.000
0.000 3.825 0.000
-0.009 0.000 8.553
Sr Tl Cl
2 1 1
direct
0.001 0.000 0.231
0.999 0.000 0.769
0.500 0.500 0.000
0.000 0.500 0.500
```

Formation energy (no corrections) = -1.297 eV/atom
Offset from the most stable computed form = 0 meV per atom

=====

3.
Below is a crystal of YBe3Cd relaxed with PBEsol, with properties calculated at the SCAN level.

```
YBe3Cd
1.0
4.944 0.000 0.000
0.000 4.944 0.000
0.000 0.000 4.944
Y Be Cd
1 3 1
direct
0.000 0.000 0.000
0.000 0.000 0.500
0.000 0.500 0.000
0.500 0.000 0.000
0.500 0.500 0.500
```

Calculated formation energy = 178.7 kJ per mole of atoms

=====

4.
Below is a crystal of Ir3Os relaxed with PBEsol, with properties calculated at the SCAN level.

```
Ir3Os
1.0
4.362 0.000 0.000
0.000 5.453 0.000
0.000 0.000 4.723
Ir Os
6 2
direct
0.250 0.002 0.165
0.250 0.498 0.165
0.250 0.750 0.661
0.750 0.250 0.339
0.750 0.502 0.835
0.750 0.998 0.835
0.250 0.250 0.669
0.750 0.750 0.331
```

Calculated formation energy = 6.2 kJ per mole of atoms

=====

5.
Below is a crystal of MgNbRu2Se relaxed with PBEsol, with properties calculated at the SCAN level.

```
MgNbRu2Se
1.0
4.613 0.000 0.000
0.000 4.613 0.000
0.000 0.000 5.242
Mg Nb Ru Se
1 1 2 1
direct
0.000 0.000 0.000
0.000 0.000 0.500
0.000 0.500 0.500
0.500 0.000 0.500
0.500 0.500 0.000
```

Formation energy (no corrections) = 1.331 eV/atom

=====

6.
Below is a crystal of Ca2ZrZn relaxed with PBEsol, with properties calculated at the SCAN level.

```
Ca2ZrZn
1.0
3.326 0.000 0.000
0.000 3.326 0.000
0.000 0.000 9.125
Ca Zr Zn
2 1 1
direct
0.000 0.000 0.220
0.000 0.000 0.780
0.500 0.500 0.500
0.500 0.500 0.000
```

Calculated formation energy = 15.3 kJ per mole of atoms

=====

| no. | N(E_F) (states/eV per atom) | total magnetic moment (μB per atom) |
| --- | --- | --- |
| 1 | 0.147 | 0.000 |
| 2 | 0.435 | 0.000 |
| 3 | 0.682 | 0.347 |
| 4 | 0.889 | 0.000 |
| 5 | 0.593 | 0.312 |
| 6 | 1.280 | 0.000 |